Below is an optimized crystal structure of La3PrHo2Te6, with properties calculated at the GGA-PBE level.

a b c (Å): 7.7696 7.7696 7.8067
angles (deg): 99.53 99.53 120.18
Last column: nearest neighbours and their distance in Å.
Atoms (fractional coordinates):
Te 0.5761 0.9202 0.7608  2 Ho 3.09, 1 Pr 3.20, 3 La 3.22-3.26
Te 0.9202 0.5761 0.7608  2 Ho 3.09, 1 Pr 3.20, 3 La 3.22-3.26
Te 0.7325 0.7325 0.2317  2 Ho 3.07, 1 Pr 3.17, 3 La 3.18-3.23
Te 0.2675 0.2675 0.7683  2 Ho 3.07, 1 Pr 3.17, 3 La 3.18-3.23
Te 0.4239 0.0798 0.2392  2 Ho 3.09, 1 Pr 3.20, 3 La 3.22-3.26
Te 0.0798 0.4239 0.2392  2 Ho 3.09, 1 Pr 3.20, 3 La 3.22-3.26
Ho 0.6675 0.3325 0.0000  6 Te 3.07-3.09
Ho 0.3325 0.6675 0.0000  6 Te 3.07-3.09
La 0.8405 0.1595 0.5000  6 Te 3.22-3.26
La 0.5000 0.5000 0.5000  6 Te 3.18-3.26
La 0.1595 0.8405 0.5000  6 Te 3.22-3.26
Pr 0.0000 0.0000 0.0000  6 Te 3.17-3.20

Properties
The uncorrected formation energy comes out at -1.4593 eV per atom.

Below is an optimized crystal structure of Mn2NiPdC, with properties calculated at the GGA-PBE level.

a b c (Å): 3.9331 3.9331 3.8139
angles (deg): 90.00 90.00 90.00
Last column: nearest neighbours and their distance in Å.
Atoms (fractional coordinates):
C 0.0000 0.0000 0.0000  2 Ni 1.91, 4 Mn 1.97
Mn 0.5000 0.0000 0.0000  2 C 1.97
Mn 0.0000 0.5000 0.0000  2 C 1.97
Ni 0.0000 0.0000 0.5000  2 C 1.91
Pd 0.5000 0.5000 0.5000  8 Mn 2.74, 4 Ni 2.78

Properties
Its total energy is -38.5 eV for the cell shown.

Below is an optimized crystal structure of RbMgNpTe3, with properties calculated at the GGA-PBE level.

a b c (Å): 4.5950 9.9262 10.9261
angles (deg): 108.66 90.00 90.00
Last column: nearest neighbours and their distance in Å.
Atoms (fractional coordinates):
Rb 0.7500 0.7876 0.7626  7 Te 3.72-4.02
Rb 0.2500 0.2124 0.2374  7 Te 3.72-4.02
Te 0.7500 0.4678 0.1595  3 Np 3.11-3.12
Te 0.7500 0.8888 0.1320  1 Mg 2.76
Te 0.2500 0.1112 0.8680  1 Mg 2.76
Te 0.2500 0.5322 0.8405  3 Np 3.11-3.12
Te 0.7500 0.2113 0.5389  3 Mg 2.83-2.88
Te 0.2500 0.7887 0.4611  3 Mg 2.83-2.88
Np 0.2500 0.6722 0.1391  6 Te 3.11-3.33
Np 0.7500 0.3278 0.8609  6 Te 3.11-3.33
Mg 0.2500 0.0861 0.6089  4 Te 2.76-2.88
Mg 0.7500 0.9139 0.3911  4 Te 2.76-2.88

Properties
The uncorrected formation energy comes out at -0.8658 eV per atom.

Below is an optimized crystal structure of Li2TbSiGe2, with properties calculated at the GGA-PBE level.

a b c (Å): 4.0417 7.7141 7.6097
angles (deg): 90.00 90.00 90.00
Last column: nearest neighbours and their distance in Å.
Atoms (fractional coordinates):
Ge 0.5000 0.2621 0.3418  1 Si 2.39, 2 Li 2.59
Ge 0.5000 0.7621 0.6582  1 Si 2.39, 2 Li 2.59
Ge 0.0000 0.1996 0.8359  2 Si 2.46, 1 Li 2.58
Ge 0.0000 0.6996 0.1641  2 Si 2.46, 1 Li 2.58
Li 0.5000 0.0012 0.0971  1 Ge 2.74, 1 Si 2.75, 2 Li 3.01
Li 0.0000 0.8390 0.8554  4 Ge 2.58-2.79
Li 0.5000 0.5012 0.9029  1 Ge 2.74, 1 Si 2.75, 2 Li 3.01
Li 0.0000 0.3390 0.1446  4 Ge 2.58-2.79
Tb 0.0000 0.0028 0.4744  6 Ge 3.02-3.32, 4 Si 3.02-3.06, 1 Li 3.16
Tb 0.0000 0.5028 0.5256  6 Ge 3.02-3.32, 4 Si 3.02-3.06, 1 Li 3.16
Si 0.5000 0.2410 0.6552  3 Ge 2.39-2.46
Si 0.5000 0.7410 0.3447  3 Ge 2.39-2.46

Properties
The uncorrected formation energy comes out at -0.4232 eV per atom.

Below is an optimized crystal structure of LiBeAg2, with properties calculated at the GGA-PBE level.

a b c (Å): 5.2470 5.2470 5.2470
angles (deg): 146.97 132.61 58.98
Last column: nearest neighbours and their distance in Å.
Atoms (fractional coordinates):
Ag 0.7229 0.2229 0.5000  2 Be 2.42, 4 Li 2.62
Ag 0.9938 0.9938 0.0000  4 Be 2.59, 2 Ag 2.89
Li 0.2696 0.7696 0.5000  6 Ag 2.62-2.93, 2 Be 2.68
Be 0.5137 0.5137 0.0000  6 Ag 2.42-2.59, 2 Li 2.68

Properties
Its total energy is -11.3 eV for the cell shown.

Below is an optimized crystal structure of CaVAg3, with properties calculated at the GGA-PBE level.

a b c (Å): 5.0456 5.0456 5.0456
angles (deg): 90.00 90.00 90.00
Last column: nearest neighbours and their distance in Å.
Atoms (fractional coordinates):
V 0.0000 0.0000 0.0000  6 Ag 2.52
Ag 0.0000 0.0000 0.5000  2 V 2.52
Ag 0.5000 0.0000 0.0000  2 V 2.52
Ag 0.0000 0.5000 0.0000  2 V 2.52
Ca 0.5000 0.5000 0.5000  12 Ag 3.57

Properties
Its total energy is -16.8 eV for the cell shown.